No. 1
An optimized crystal structure of CsBiPd2. Source: Alexandria, functional PBEsol.

Structure (extended XYZ):
```
8
Lattice="-0.903 5.876 3.276 -4.725 -0.575 -4.840 -0.514 -5.104 4.445" Properties=species:S:1:pos:R:3 pbc="T T T"
Pd -4.115 -0.246 1.284
Pd -0.718 1.863 1.697
Pd -2.320 -4.629 2.607
Pd -5.133 3.405 0.176
Cs -2.019 -1.034 3.762
Cs -2.620 -2.840 -0.197
Bi 0.000 0.000 0.000
Bi -4.124 1.230 -0.880
```

- energy relative to the elements (kcal/mol of atoms) = 5.4

***

No. 2
An optimized crystal structure of Cs2RbBi2. Source: Alexandria, functional PBEsol.

Structure (extended XYZ):
```
10
Lattice="5.854 0.000 0.000 0.000 9.375 0.000 0.000 0.000 9.375" Properties=species:S:1:pos:R:3 pbc="T T T"
Rb 0.000 0.000 0.000
Rb 0.000 4.688 4.688
Bi 0.000 8.325 5.738
Bi 0.000 3.637 8.325
Bi 0.000 1.050 3.637
Bi 0.000 5.738 1.050
Cs 2.927 6.254 7.809
Cs 2.927 7.809 3.122
Cs 2.927 3.122 1.566
Cs 2.927 1.566 6.254
```

- energy relative to the elements (kcal/mol of atoms) = -6.8

***

No. 3
An optimized crystal structure of CsRbBi2. Source: Alexandria, functional PBEsol.

Structure (extended XYZ):
```
8
Lattice="-5.822 -0.524 2.741 -5.240 -4.339 -4.357 -0.715 -6.415 4.858" Properties=species:S:1:pos:R:3 pbc="T T T"
Bi -3.998 -3.628 4.122
Bi -6.325 -7.520 -1.565
Bi -8.471 -9.024 4.995
Bi -4.763 -2.385 -1.067
Rb -4.433 -5.508 0.936
Rb -2.911 -0.262 1.370
Cs 0.000 0.000 0.000
Cs -7.344 -5.770 2.306
```

- energy relative to the elements (kcal/mol of atoms) = -0.4

***

No. 4
An optimized crystal structure of CsRbBiRu2. Source: Alexandria, functional PBEsol.

Structure (extended XYZ):
```
5
Lattice="-3.469 2.896 -2.368 -0.819 -3.739 -3.373 -4.714 -2.471 3.883" Properties=species:S:1:pos:R:3 pbc="T T T"
Bi 0.000 0.000 0.000
Ru -1.734 1.448 -1.184
Ru -0.409 -1.869 -1.687
Cs -2.357 -1.236 1.941
Rb -4.501 -1.657 -0.929
```

- energy relative to the elements (kcal/mol of atoms) = 30.6

***

No. 5
An optimized crystal structure of CsRbSn2Bi. Source: Alexandria, functional PBEsol.

Structure (extended XYZ):
```
5
Lattice="-5.271 1.559 2.552 -2.949 -3.569 -3.910 0.506 -4.724 3.931" Properties=species:S:1:pos:R:3 pbc="T T T"
Sn -1.474 -1.784 -1.955
Sn -2.635 0.779 1.276
Cs 0.253 -2.362 1.965
Bi -3.857 -3.367 1.286
Rb 0.000 0.000 0.000
```

- energy relative to the elements (kcal/mol of atoms) = 20.6

***

No. 6
An optimized crystal structure of CsBi2TeRu. Source: Alexandria, functional PBEsol.

Structure (extended XYZ):
```
5
Lattice="-3.562 3.678 1.039 -2.965 -1.764 -3.924 -2.639 -3.573 3.601" Properties=species:S:1:pos:R:3 pbc="T T T"
Bi -1.482 -0.882 -1.962
Bi -1.781 1.839 0.519
Te -4.583 -0.830 0.358
Cs -1.320 -1.787 1.800
Ru 0.000 0.000 0.000
```

- energy relative to the elements, uncorrected (eV/atom) = 0.267

***

No. 7
An optimized crystal structure of CsSiBiS4. Source: Alexandria, functional PBEsol.

Structure (extended XYZ):
```
28
Lattice="6.759 0.000 0.000 0.000 9.265 -0.010 0.000 -3.982 12.289" Properties=species:S:1:pos:R:3 pbc="T T T"
Si 1.631 4.298 10.489
Si 5.010 -1.005 7.935
Si 1.749 6.289 4.344
Si 5.128 0.986 1.791
S 5.265 6.479 6.738
S 3.566 0.918 3.229
S 3.217 -1.094 9.077
S 1.886 -3.186 11.686
S 3.542 6.377 3.202
S 4.873 8.470 0.594
S 3.193 4.366 9.050
S 6.596 4.387 9.346
S 1.677 2.599 11.740
S 0.186 6.357 2.905
S 1.703 4.590 5.595
S 0.163 0.897 2.933
S 5.082 2.685 0.540
S 6.573 -1.073 9.374
S 1.493 -1.195 5.541
S 5.056 0.694 6.684
Cs 5.129 3.690 4.744
Cs 1.630 1.594 7.535
Cs 1.750 3.585 1.391
Cs 5.009 1.699 10.888
Bi 4.510 -3.005 10.672
Bi 2.249 8.289 1.607
Bi 1.130 6.298 7.751
Bi 5.629 -1.014 4.528
```

- energy relative to the elements, uncorrected (eV/atom) = -0.849

***

No. 8
An optimized crystal structure of Cs2BiSb2. Source: Alexandria, functional PBEsol.

Structure (extended XYZ):
```
10
Lattice="6.095 0.000 0.000 0.000 8.054 0.000 0.000 0.000 8.054" Properties=species:S:1:pos:R:3 pbc="T T T"
Cs 3.047 2.596 1.432
Cs 3.047 6.623 2.596
Cs 3.047 1.432 5.459
Cs 3.047 5.459 6.623
Bi 0.000 4.027 4.027
Bi 0.000 0.000 0.000
Sb 0.000 3.031 7.058
Sb 0.000 5.024 0.996
Sb 0.000 7.058 5.024
Sb 0.000 0.996 3.031
```

- energy relative to the elements, uncorrected (eV/atom) = -0.336

***

No. 9
An optimized crystal structure of Cs3Bi7Se12. Source: Alexandria, functional PBEsol.

Structure (extended XYZ):
```
22
Lattice="-4.152 -0.545 -0.003 1.248 -9.455 -9.042 2.851 -5.689 12.212" Properties=species:S:1:pos:R:3 pbc="T T T"
Se 1.390 -10.608 5.008
Se -1.756 -2.722 1.501
Se 0.464 -3.560 4.906
Se 0.784 -5.979 1.449
Se 1.099 -8.355 -1.953
Se 1.703 -12.973 1.652
Se 1.092 -8.275 -7.206
Se -1.148 -7.367 5.014
Se -0.498 -12.281 -1.711
Se -1.164 -7.273 10.524
Se -1.452 -5.013 -1.884
Se -0.836 -9.723 1.614
Cs -0.761 -10.265 -4.566
Cs 0.748 -5.671 -4.533
Cs 0.740 -5.672 7.760
Bi -0.515 -12.178 3.380
Bi 1.418 -10.795 -0.337
Bi 0.455 -3.460 -0.248
Bi -1.144 -7.366 -0.358
Bi -1.461 -4.979 3.473
Bi -0.833 -9.695 -8.978
Bi 1.089 -8.313 3.428
```

- energy relative to the elements, uncorrected (eV/atom) = -0.625

***

No. 10
An optimized crystal structure of CsBi3Se5. Source: Alexandria, functional PBEsol.

Structure (extended XYZ):
```
36
Lattice="-0.613 3.350 -2.350 -0.904 -7.186 -10.010 -22.285 -1.773 3.286" Properties=species:S:1:pos:R:3 pbc="T T T"
Se -18.546 -0.728 -1.664
Se -20.890 -4.043 -5.779
Se -15.478 -2.043 -4.340
Se -12.327 -4.674 -5.270
Se -7.397 0.206 -3.242
Se -13.837 -5.063 -9.073
Se -9.965 -0.546 0.000
Se -5.257 -4.881 -7.409
Se -19.869 -7.649 -7.544
Se -13.952 -1.634 -0.511
Se -3.933 2.040 -1.530
Se -11.475 -0.935 -3.804
Se -21.407 -3.807 -1.665
Se -1.386 -5.389 -9.143
Se -8.325 -3.566 -4.734
Se -16.405 -5.814 -5.831
Se -9.850 -3.975 -8.563
Se -22.417 -0.220 0.070
Se -2.396 -1.801 -7.408
Se -2.913 -1.566 -3.294
Bi -22.468 -5.465 -3.752
Bi -3.908 -3.475 -9.400
Bi -14.955 -3.598 -6.693
Bi -1.334 -0.143 -5.321
Bi -13.302 -3.112 -2.789
Bi -8.848 -2.011 -2.380
Bi -19.894 -2.133 0.327
Bi -1.873 0.048 -1.265
Bi -10.501 -2.496 -6.285
Bi -21.929 -5.656 -7.808
Bi -12.271 0.603 -1.404
Bi -11.531 -6.211 -7.669
Cs -7.439 -6.785 -9.555
Cs -18.147 -4.222 -3.107
Cs -16.364 1.176 0.481
Cs -5.655 -1.386 -5.966
```

- energy relative to the elements, uncorrected (eV/atom) = -0.584

***

No. 11
An optimized crystal structure of Cs2Bi4Se7. Source: Alexandria, functional PBEsol.

Structure (extended XYZ):
```
26
Lattice="-2.938 1.172 2.769 6.234 -6.707 9.455 7.680 13.055 2.622" Properties=species:S:1:pos:R:3 pbc="T T T"
Bi 4.893 12.009 4.895
Bi 0.960 3.328 4.397
Bi 9.636 8.414 11.451
Bi 10.015 4.193 10.449
Bi 6.082 -4.488 9.950
Bi 5.001 3.217 5.541
Bi 5.974 4.303 9.305
Bi 1.339 -0.894 3.395
Se 6.770 5.184 6.585
Se 10.351 8.926 8.801
Se 11.941 6.243 11.624
Se 7.149 10.158 4.881
Se 8.186 2.368 9.280
Se 9.332 3.441 13.233
Se 7.925 6.203 10.570
Se 4.205 2.337 8.261
Se 3.051 1.318 4.275
Se 2.789 5.153 5.565
Se 0.624 -1.405 6.044
Se 3.827 -2.637 9.964
Se -0.966 1.278 3.221
Se 1.643 4.079 1.612
Cs 6.695 8.582 8.258
Cs 4.280 -1.061 6.587
Cs 5.874 0.252 10.914
Cs 5.102 7.269 3.932
```

- energy relative to the elements, uncorrected (eV/atom) = -0.654

***

No. 12
An optimized crystal structure of CsBi2Se. Source: Alexandria, functional PBEsol.

Structure (extended XYZ):
```
8
Lattice="-4.921 1.739 3.959 0.972 -1.417 7.250 0.320 6.903 2.786" Properties=species:S:1:pos:R:3 pbc="T T T"
Se -2.460 0.869 1.980
Se -0.584 3.178 6.008
Cs -3.044 4.047 7.987
Cs 0.000 0.000 0.000
Bi -1.406 0.541 4.789
Bi -2.469 4.807 4.304
Bi 0.071 1.983 8.701
Bi -3.452 7.118 10.196
```

- energy relative to the elements, uncorrected (eV/atom) = -0.074